# 1
LaPaRu: optimized geometry, GGA-PBE.

The structure in POSCAR format:
```
LaPaRu
1.0
4.999 0.000 0.000
0.000 4.999 0.000
0.000 0.000 6.496
La Pa Ru
2 2 2
direct
0.250 0.250 0.125
0.750 0.750 0.875
0.250 0.750 0.500
0.750 0.250 0.500
0.250 0.250 0.656
0.750 0.750 0.344
```

excess energy over the best structure of this formula in the dataset = 0.000 eV per atom
ΔH_f (0 K) = -0.331 eV per atom

# 2
La3PaRu3: optimized geometry, GGA-PBE.

The structure in POSCAR format:
```
La3PaRu3
1.0
5.596 -4.643 0.000
5.596 4.643 0.000
-1.135 0.000 6.737
La Pa Ru
6 2 6
direct
0.196 0.804 0.000
0.300 0.700 0.500
0.305 0.305 0.969
0.695 0.695 0.031
0.700 0.300 0.500
0.804 0.196 0.000
0.197 0.197 0.420
0.803 0.803 0.580
0.021 0.490 0.291
0.063 0.063 0.705
0.490 0.021 0.291
0.510 0.979 0.709
0.937 0.937 0.295
0.979 0.510 0.709
```

ΔH_f (0 K) = -0.332 eV per atom

# 3
La2TbPaRu2: optimized geometry, GGA-PBE.

The structure in POSCAR format:
```
La2TbPaRu2
1.0
-3.507 6.720 3.470
3.507 -6.720 3.470
3.507 6.720 -3.470
La Tb Pa Ru
4 2 2 4
direct
0.195 0.227 0.422
0.305 0.727 0.033
0.695 0.273 0.967
0.805 0.773 0.578
0.250 0.750 0.500
0.750 0.250 0.500
0.250 0.250 0.000
0.750 0.750 0.000
0.095 0.789 0.884
0.405 0.289 0.694
0.595 0.711 0.306
0.905 0.211 0.116
```

ΔH_f (0 K) = -0.335 eV per atom

# 4
La2U2PaRu5: optimized geometry, GGA-PBE.

The structure in POSCAR format:
```
La2U2PaRu5
1.0
10.709 0.000 0.000
0.000 10.709 0.000
0.000 0.000 3.620
La U Pa Ru
4 4 2 10
direct
0.177 0.323 0.000
0.323 0.823 0.000
0.677 0.177 0.000
0.823 0.677 0.000
0.137 0.637 0.000
0.363 0.137 0.000
0.637 0.863 0.000
0.863 0.363 0.000
0.000 0.000 0.000
0.500 0.500 0.000
0.000 0.500 0.500
0.053 0.802 0.500
0.198 0.053 0.500
0.302 0.553 0.500
0.447 0.302 0.500
0.500 0.000 0.500
0.553 0.698 0.500
0.698 0.447 0.500
0.802 0.947 0.500
0.947 0.198 0.500
```

ΔH_f (0 K) = -0.265 eV per atom

# 5
LaPaS2: optimized geometry, GGA-PBE.

The structure in POSCAR format:
```
LaPaS2
1.0
1.990 1.149 6.697
-1.990 1.149 6.697
0.000 -2.298 6.697
La Pa S
1 1 2
direct
0.000 0.000 0.000
0.500 0.500 0.500
0.245 0.245 0.245
0.755 0.755 0.755
```

excess energy over the best structure of this formula in the dataset = 0.000 eV per atom
energy relative to the elements, uncorrected = -7.35 eV per formula unit

# 6
La2PaS6: optimized geometry, GGA-PBE.

The structure in POSCAR format:
```
La2PaS6
1.0
7.222 -3.452 0.000
7.222 3.452 0.000
-1.313 0.000 4.503
La Pa S
2 1 6
direct
0.168 0.168 0.169
0.832 0.832 0.831
0.500 0.500 0.500
0.102 0.583 0.341
0.275 0.725 0.000
0.417 0.898 0.659
0.583 0.102 0.341
0.725 0.275 0.000
0.898 0.417 0.659
```

excess energy over the best structure of this formula in the dataset = 0.000 eV per atom
energy relative to the elements, uncorrected = -15.83 eV per formula unit

# 7
La2Pa3S8: optimized geometry, GGA-PBE.

The structure in POSCAR format:
```
La2Pa3S8
1.0
7.218 -4.027 0.000
7.218 4.027 0.000
-2.155 0.000 6.298
La Pa S
2 3 8
direct
0.235 0.235 0.164
0.765 0.765 0.836
0.251 0.749 0.500
0.500 0.500 0.000
0.749 0.251 0.500
0.110 0.110 0.426
0.148 0.606 0.087
0.383 0.383 0.580
0.394 0.852 0.913
0.606 0.148 0.087
0.617 0.617 0.420
0.852 0.394 0.913
0.890 0.890 0.574
```

excess energy over the best structure of this formula in the dataset = 0.045 eV per atom
energy relative to the elements, uncorrected = -22.76 eV per formula unit

# 8
LaPaS3: optimized geometry, GGA-PBE.

The structure in POSCAR format:
```
LaPaS3
1.0
7.453 0.000 0.000
0.000 4.007 0.000
0.000 0.000 15.669
La Pa S
4 4 12
direct
0.116 0.250 0.201
0.384 0.750 0.701
0.616 0.250 0.299
0.884 0.750 0.799
0.241 0.750 0.458
0.259 0.250 0.958
0.741 0.750 0.042
0.759 0.250 0.542
0.008 0.250 0.402
0.126 0.750 0.064
0.169 0.250 0.785
0.331 0.750 0.285
0.374 0.250 0.564
0.492 0.750 0.902
0.508 0.250 0.098
0.626 0.750 0.436
0.669 0.250 0.715
0.831 0.750 0.215
0.874 0.250 0.936
0.992 0.750 0.598
```

excess energy over the best structure of this formula in the dataset = 0.000 eV per atom
energy relative to the elements, uncorrected = -9.51 eV per formula unit

# 9
LaPa6S8: optimized geometry, GGA-PBE.

The structure in POSCAR format:
```
LaPa6S8
1.0
4.157 2.400 5.502
-4.157 2.400 5.502
0.000 -4.800 5.502
La Pa S
1 6 8
direct
0.000 0.000 0.000
0.072 0.448 0.708
0.292 0.928 0.552
0.448 0.708 0.072
0.552 0.292 0.928
0.708 0.072 0.448
0.928 0.552 0.292
0.098 0.794 0.384
0.206 0.616 0.902
0.333 0.333 0.333
0.384 0.098 0.794
0.616 0.902 0.206
0.667 0.667 0.667
0.794 0.384 0.098
0.902 0.206 0.616
```

energy relative to the elements, uncorrected = -21.41 eV per formula unit

# 10
La3PaS6: optimized geometry, GGA-PBE.

The structure in POSCAR format:
```
La3PaS6
1.0
11.368 0.000 0.000
0.000 4.079 0.000
-3.339 0.000 11.219
La Pa S
6 2 12
direct
0.085 0.250 0.169
0.183 0.750 0.509
0.337 0.250 0.924
0.663 0.750 0.076
0.817 0.250 0.491
0.915 0.750 0.831
0.455 0.250 0.312
0.545 0.750 0.688
0.024 0.250 0.386
0.091 0.250 0.926
0.263 0.750 0.289
0.324 0.750 0.752
0.398 0.250 0.543
0.419 0.750 0.109
0.581 0.250 0.891
0.602 0.750 0.457
0.676 0.250 0.248
0.737 0.250 0.711
0.909 0.750 0.074
0.976 0.750 0.614
```

energy relative to the elements, uncorrected = -19.80 eV per formula unit

# 11
LaPaS2: optimized geometry, GGA-PBE.

The structure in POSCAR format:
```
LaPaS2
1.0
3.481 0.000 0.000
0.000 3.481 0.000
0.000 0.000 7.009
La Pa S
1 1 2
direct
0.000 0.000 0.000
0.000 0.000 0.500
0.500 0.500 0.268
0.500 0.500 0.732
```

excess energy over the best structure of this formula in the dataset = 0.370 eV per atom
energy relative to the elements, uncorrected = -5.87 eV per formula unit

# 12
La2Pa2S7: optimized geometry, GGA-PBE.

The structure in POSCAR format:
```
La2Pa2S7
1.0
4.413 -4.938 0.000
4.413 4.938 0.000
0.000 0.000 6.655
La Pa S
2 2 7
direct
0.247 0.247 0.000
0.753 0.753 0.000
0.229 0.771 0.500
0.771 0.229 0.500
0.000 0.000 0.260
0.000 0.000 0.740
0.000 0.500 0.248
0.000 0.500 0.752
0.500 0.000 0.248
0.500 0.000 0.752
0.500 0.500 0.500
```

excess energy over the best structure of this formula in the dataset = 0.021 eV per atom
energy relative to the elements, uncorrected = -19.37 eV per formula unit

# 13
LaPa3S4: optimized geometry, GGA-PBE.

The structure in POSCAR format:
```
LaPa3S4
1.0
4.091 -5.598 0.000
4.091 5.598 0.000
0.000 0.000 3.814
La Pa S
1 3 4
direct
0.000 0.000 0.000
0.000 0.500 0.500
0.500 0.000 0.500
0.500 0.500 0.000
0.254 0.746 0.000
0.259 0.259 0.500
0.741 0.741 0.500
0.746 0.254 0.000
```

energy relative to the elements, uncorrected = -13.59 eV per formula unit

# 14
La2Pa3S8: optimized geometry, GGA-PBE.

The structure in POSCAR format:
```
La2Pa3S8
1.0
4.753 -6.852 0.000
4.753 6.852 0.000
0.000 0.000 4.771
La Pa S
2 3 8
direct
0.233 0.767 0.000
0.767 0.233 0.000
0.234 0.234 0.500
0.500 0.500 0.000
0.766 0.766 0.500
0.118 0.882 0.500
0.144 0.378 0.000
0.378 0.144 0.000
0.388 0.612 0.500
0.612 0.388 0.500
0.622 0.856 0.000
0.856 0.622 0.000
0.882 0.118 0.500
```

excess energy over the best structure of this formula in the dataset = 0.000 eV per atom
energy relative to the elements, uncorrected = -23.34 eV per formula unit

# 15
La2PaS6: optimized geometry, GGA-PBE.

The structure in POSCAR format:
```
La2PaS6
1.0
6.508 0.000 0.000
0.000 6.508 0.000
0.000 0.000 12.885
La Pa S
4 2 12
direct
0.000 0.000 0.168
0.000 0.000 0.832
0.500 0.500 0.332
0.500 0.500 0.668
0.000 0.000 0.500
0.500 0.500 0.000
0.189 0.189 0.346
0.189 0.189 0.654
0.211 0.211 0.000
0.289 0.711 0.500
0.311 0.689 0.154
0.311 0.689 0.846
0.689 0.311 0.154
0.689 0.311 0.846
0.711 0.289 0.500
0.789 0.789 0.000
0.811 0.811 0.346
0.811 0.811 0.654
```

excess energy over the best structure of this formula in the dataset = 0.106 eV per atom
energy relative to the elements, uncorrected = -14.87 eV per formula unit

# 16
LaPa2S5: optimized geometry, GGA-PBE.

The structure in POSCAR format:
```
LaPa2S5
1.0
-3.705 3.705 6.467
3.705 -3.705 6.467
3.705 3.705 -6.467
La Pa S
2 4 10
direct
0.250 0.250 0.000
0.750 0.750 0.000
0.153 0.653 0.806
0.347 0.153 0.500
0.653 0.847 0.500
0.847 0.347 0.194
0.000 0.000 0.000
0.013 0.204 0.500
0.204 0.704 0.191
0.296 0.487 0.500
0.487 0.987 0.191
0.500 0.500 0.000
0.513 0.013 0.809
0.704 0.513 0.500
0.796 0.296 0.809
0.987 0.796 0.500
```

energy relative to the elements, uncorrected = -14.22 eV per formula unit

# 17
La2Pa2S7: optimized geometry, GGA-PBE.

The structure in POSCAR format:
```
La2Pa2S7
1.0
4.669 0.000 0.000
0.000 4.669 0.000
0.000 0.000 13.432
La Pa S
2 2 7
direct
0.000 0.500 0.143
0.500 0.000 0.857
0.000 0.500 0.620
0.500 0.000 0.380
0.000 0.000 0.253
0.000 0.000 0.500
0.000 0.000 0.747
0.500 0.500 0.000
0.500 0.500 0.265
0.500 0.500 0.500
0.500 0.500 0.735
```

excess energy over the best structure of this formula in the dataset = 0.000 eV per atom
energy relative to the elements, uncorrected = -19.60 eV per formula unit

# 18
LaPaS3: optimized geometry, GGA-PBE.

The structure in POSCAR format:
```
LaPaS3
1.0
6.364 -2.709 0.000
6.364 2.709 0.000
-2.651 0.000 7.914
La Pa S
2 2 6
direct
0.110 0.110 0.300
0.890 0.890 0.700
0.357 0.357 0.083
0.643 0.643 0.917
0.128 0.128 0.936
0.340 0.340 0.390
0.417 0.417 0.798
0.583 0.583 0.202
0.660 0.660 0.610
0.872 0.872 0.064
```

excess energy over the best structure of this formula in the dataset = 0.209 eV per atom
energy relative to the elements, uncorrected = -8.47 eV per formula unit

# 19
La5Pa2S12: optimized geometry, GGA-PBE.

The structure in POSCAR format:
```
La5Pa2S12
1.0
7.924 -3.810 0.000
7.924 3.810 0.000
-2.795 0.000 8.838
La Pa S
5 2 12
direct
0.000 0.000 0.000
0.295 0.295 0.136
0.310 0.310 0.675
0.690 0.690 0.325
0.705 0.705 0.864
0.251 0.749 0.500
0.749 0.251 0.500
0.003 0.003 0.306
0.097 0.556 0.411
0.101 0.598 0.932
0.402 0.899 0.068
0.444 0.903 0.589
0.499 0.499 0.290
0.501 0.501 0.710
0.556 0.097 0.411
0.598 0.101 0.932
0.899 0.402 0.068
0.903 0.444 0.589
0.997 0.997 0.694
```

energy relative to the elements, uncorrected = -37.55 eV per formula unit

# 20
LaScPa2S8: optimized geometry, GGA-PBE.

The structure in POSCAR format:
```
LaScPa2S8
1.0
6.140 0.000 0.000
0.000 8.283 0.000
-0.205 0.000 6.316
La Sc Pa S
1 1 2 8
direct
0.000 0.000 0.000
0.000 0.500 0.000
0.500 0.256 0.500
0.500 0.744 0.500
0.227 0.273 0.174
0.227 0.727 0.174
0.284 0.500 0.671
0.288 0.000 0.648
0.712 0.000 0.352
0.716 0.500 0.329
0.773 0.273 0.826
0.773 0.727 0.826
```

energy relative to the elements, uncorrected = -20.04 eV per formula unit

| no. | calculated total energy (eV per atom) | calculated density (g/cm3) |
| --- | --- | --- |
| 1 | -8.23 | 9.6 |
| 2 | -7.78 | 9.0 |
| 3 | -7.42 | 8.8 |
| 4 | -9.10 | 11.9 |
| 5 | -7.51 | 7.8 |
| 6 | -6.66 | 5.2 |
| 7 | -7.24 | 5.6 |
| 8 | -7.26 | 6.6 |
| 9 | -7.76 | 9.0 |
| 10 | -6.88 | 5.4 |
| 11 | -7.14 | 8.5 |
| 12 | -7.01 | 5.5 |
| 13 | -7.94 | 9.1 |
| 14 | -7.28 | 6.6 |
| 15 | -6.55 | 4.3 |
| 16 | -7.35 | 7.1 |
| 17 | -7.03 | 5.5 |
| 18 | -7.05 | 5.7 |
| 19 | -6.88 | 4.8 |
| 20 | -6.94 | 4.7 |